1.
{
  "formula": "PAuNCl2",
  "functional": "PBE",
  "state": "relaxed",
  "cell": [[5.835, 0.000, 0.000], [0.000, 5.835, 0.000], [0.000, 0.000, 3.187]],
  "species": ["P", "Au", "N", "Cl", "Cl"],
  "frac_coords": [[0.000, 0.000, 0.000], [0.500, 0.500, 0.000], [0.000, 0.000, 0.500], [0.000, 0.500, 0.500], [0.500, 0.000, 0.500]],
  "space_group": "No. 123",
  "formation_energy_uncorrected_ev_per_atom": 0.900
}


2.
{
  "formula": "BIrAu",
  "functional": "PBE",
  "state": "relaxed",
  "cell": [[1.775, 1.025, 7.771], [-1.775, 1.025, 7.771], [0.000, -2.050, 7.771]],
  "species": ["B", "B", "Ir", "Ir", "Au", "Au"],
  "frac_coords": [[0.108, 0.108, 0.108], [0.892, 0.892, 0.892], [0.207, 0.207, 0.207], [0.793, 0.793, 0.793], [0.374, 0.374, 0.374], [0.626, 0.626, 0.626]],
  "formation_energy_ev_per_atom": 0.039,
  "space_group": "No. 166"
}